(w)
AlBW2 | the Alexandria database | PBE | optimized geometry; symmetry = I-42d (122); magnetic moment = 0.0000 μB per atom; calculated density = 11.2 g cm⁻³
1.0
-1.365 2.300 -2.526
2.264 -1.429 -2.524
-5.725 -5.574 -4.660
Al B W
2 2 4
Cartesian
0.000 0.000 0.000
-3.320 -1.419 -4.856
-1.506 -3.284 -4.855
0.449 0.436 -2.525
-0.201 -1.976 -3.083
-1.988 -0.157 -3.034
-3.530 -3.404 -7.889
-3.934 -3.868 -5.414


(x)
AlBW2 | the Alexandria database | PBE | optimized geometry; symmetry = R-3m (166); magnetic moment = 0.0000 μB per atom; calculated density = 10.8 g cm⁻³
1.0
-0.251 -2.197 2.108
2.367 -0.648 1.820
-1.796 4.230 6.407
B W Al
1 2 1
Cartesian
0.160 0.692 5.167
-0.948 2.474 4.679
1.268 -1.089 5.656
0.000 0.000 0.000


(y)
AlBW2 | the Alexandria database | PBE | optimized geometry; symmetry = Fm-3m (225); magnetic moment = 0.0000 μB per atom; calculated density = 12.7 g cm⁻³
1.0
0.000 2.985 2.985
2.985 0.000 2.985
2.985 2.985 0.000
B Al W
1 1 2
Cartesian
0.000 0.000 0.000
2.985 2.985 2.985
1.492 1.492 1.492
4.477 4.477 4.477


The most stable arrangement is (x), and the next structure is 37.2 kJ/mol of atoms less stable.


(w)
AlZnB2 | the Alexandria database | PBE | optimized geometry; symmetry = Fm-3m (225); magnetic moment = 0.0000 μB per atom; calculated density = 4.3 g cm⁻³
1.0
-3.519 -1.808 -0.005
-3.274 2.042 0.875
-2.639 0.816 -2.833
B Al Zn
2 1 1
Cartesian
-2.358 0.262 -0.491
-7.074 0.787 -1.473
0.000 0.000 0.000
-4.716 0.525 -0.982


(x)
AlZnB2 | the Alexandria database | PBE | optimized geometry; symmetry = I-42d (122); magnetic moment = 0.0000 μB per atom; calculated density = 3.7 g cm⁻³
1.0
-1.203 5.185 -2.142
-3.498 1.019 4.433
0.044 4.323 2.755
B Al Zn
4 2 2
Cartesian
-1.184 4.473 -0.106
-2.320 2.342 3.201
-1.714 5.564 2.905
-4.097 8.676 4.090
-2.351 3.102 1.145
-2.903 4.222 4.166
0.000 0.000 0.000
-1.755 6.305 0.879


The most stable arrangement is (w), and the next structure is 2.3 kJ/mol of atoms less stable.


(w)
AlZnB3 | the Alexandria database | PBE | optimized geometry; symmetry = Pm-3m (221); magnetic moment = 0.0000 μB per atom; calculated density = 3.1 g cm⁻³
1.0
-4.033 -0.110 0.322
0.328 -2.290 3.322
0.092 3.336 2.290
Zn B Al
1 3 1
Cartesian
0.000 0.000 0.000
0.046 1.668 1.145
-2.017 -0.055 0.161
0.164 -1.145 1.661
-1.807 0.468 2.967


(x)
AlZnB3 | the Alexandria database | PBE | optimized geometry; symmetry = Pm-3m (221); magnetic moment = 0.0000 μB per atom; calculated density = 2.9 g cm⁻³
1.0
4.168 0.000 0.000
0.000 4.168 0.000
0.000 0.000 4.168
B Al Zn
3 1 1
Cartesian
2.084 0.000 0.000
0.000 0.000 2.084
0.000 2.084 0.000
0.000 0.000 0.000
2.084 2.084 2.084


The most stable arrangement is (x), and the next structure is 3.8 kJ/mol of atoms less stable.